[1]
The following is a DFT calculation (GGA-PBE) of an optimized crystal structure of LiS2I.

```
LiS2I
1.0
3.953 0.000 0.000
-1.976 3.423 0.000
0.000 0.000 21.769
Li S I
3 6 3
direct
0.000 0.000 0.000 Li
0.333 0.667 0.667 Li
0.667 0.333 0.333 Li
0.000 0.000 0.384 S
0.000 0.000 0.616 S
0.333 0.667 0.051 S
0.333 0.667 0.283 S
0.667 0.333 0.717 S
0.667 0.333 0.949 S
0.000 0.000 0.500 I
0.333 0.667 0.167 I
0.667 0.333 0.833 I
```

Output
V	24.55	Å³ per atom

---

[2]
The following is a DFT calculation (GGA-PBE) of an optimized crystal structure of Li3SI.

```
Li3SI
1.0
2.008 -8.549 0.000
2.008 8.549 0.000
0.000 0.000 6.278
Li S I
6 2 2
direct
0.062 0.938 0.500 Li
0.299 0.701 0.896 Li
0.312 0.688 0.356 Li
0.688 0.312 0.856 Li
0.701 0.299 0.396 Li
0.938 0.062 0.000 Li
0.197 0.803 0.621 S
0.803 0.197 0.121 S
0.437 0.563 0.655 I
0.563 0.437 0.155 I
```

Output
V	21.55	Å³ per atom

---

Calculated ΔE_f (raw) (eV per formula unit), listed in the same order as above: -0.2; -6.1
Calculated E_tot (eV/atom), listed in the same order as above: -2.988; -3.507
Calculated DOS at the Fermi energy (states/eV per atom), listed in the same order as above: 1.167; 0.000